PBE RbTa3N, relaxed; crystal system = cubic; magnetic moment = 0.000 μB/f.u.; uncorrected formation energy = 2055 kJ/mol of formula units; E above lowest polymorph = 3306.1 meV/atom
1.0
4.759 0.000 0.000
0.000 4.759 0.000
0.000 0.000 4.759
Ta N Rb
3 1 1
Direct
0.500 0.000 0.000
0.000 0.500 0.000
0.000 0.000 0.500
0.500 0.500 0.500
0.000 0.000 0.000


PBE RbTaTe2N, relaxed; crystal system = tetragonal; magnetic moment = 0.000 μB/f.u.; uncorrected formation energy = -128 kJ/mol of formula units; E above lowest polymorph = 0.0 meV/atom
1.0
-2.472 4.927 -1.929
-4.084 -0.423 4.154
2.277 2.103 2.452
Rb Te N Ta
1 2 1 1
Direct
0.500 0.500 0.500
0.500 0.000 0.000
0.000 0.500 0.000
0.000 0.000 0.500
0.000 0.000 0.000


Question: Look up the magnetic moment of the second one.
Answer: 0.000 μB/f.u.


Question: What is the uncorrected formation energy in the first record?
Answer: 2055 kJ/mol of formula units


Please write out number 2 again, unchanged.
PBE RbTaTe2N, relaxed; crystal system = tetragonal; magnetic moment = 0.000 μB/f.u.; uncorrected formation energy = -128 kJ/mol of formula units; E above lowest polymorph = 0.0 meV/atom
1.0
-2.472 4.927 -1.929
-4.084 -0.423 4.154
2.277 2.103 2.452
Rb Te N Ta
1 2 1 1
Direct
0.500 0.500 0.500
0.500 0.000 0.000
0.000 0.500 0.000
0.000 0.000 0.500
0.000 0.000 0.000


Question: What is the uncorrected formation energy in the first record?
Answer: 2055 kJ/mol of formula units